Computed, not measured: an optimized crystal structure of Ce2ThTaN4 at the GGA-PBE level of DFT.

Cell: 5.9945 3.4066 6.0566 Å, 90.00 108.33 90.00°
Last column: nearest neighbours and their distance in Å.
Space group P2/m (No. 10)
One atom of each set of equivalent atoms:
Ce: 0.0000 0.0000 0.0000 [1 per cell]  6 N 2.44
Ce: 0.0000 0.5000 0.5000 [1 per cell]  6 N 2.65-2.71
Th: 0.5000 0.0000 0.5000 [1 per cell]  6 N 2.47-2.49
Ta: 0.5000 0.5000 0.0000 [1 per cell]  6 N 2.18-2.27
N: 0.2731 0.5000 0.2187 [2 per cell]  1 Ta 2.18
N: 0.2866 0.0000 0.7896 [2 per cell]  2 Ta 2.27, 1 Ce 2.44, 1 Th 2.47

Summary:
total DFT energy (no corrections)	-75.688	eV/cell
uncorrected formation energy	-11.25	eV per formula unit
theoretical density	10.6	g/cm3